1.
The following is a DFT calculation (PBE) of crystalline LuZrRe2 at its relaxed geometry.

abc: 6.6035 6.6035 6.6035
angles: 90.00 90.00 90.00
Space group F-43m (No. 216)
Asymmetric unit:
Lu 0.0000 0.0000 0.0000 [4 per cell]
Zr 0.2500 0.2500 0.7500 [4 per cell]
Re 0.0000 0.0000 0.5000 [4 per cell]
Re 0.2500 0.2500 0.2500 [4 per cell]

**Energy relative to the elements**: 45 kJ/mol of formula units
**Calculated density**: 14.73 Mg/m³

2.
The following is a DFT calculation (PBE) of crystalline RbSiAgTeSe2 at its relaxed geometry.

abc: 3.5959 16.8193 11.0969
angles: 90.00 90.00 90.00
Space group Cmcm (No. 63)
Asymmetric unit:
Rb 0.0000 0.2342 0.2500 [4 per cell]
Si 0.0000 0.5000 0.0000 [4 per cell]
Ag 0.0000 0.0899 0.7500 [4 per cell]
Te 0.0000 0.4528 0.7500 [4 per cell]
Se 0.0000 0.1076 0.5223 [8 per cell]

**Calculated density**: 5.02 Mg/m³
**VASP energy**: -84.6 eV per cell

3.
The following is a DFT calculation (PBE) of crystalline YHo2Sn3PdPt2 at its relaxed geometry.

abc: 3.9965 13.0458 7.5234
angles: 90.00 90.00 90.00
Space group Amm2 (No. 38)
Asymmetric unit:
Y 0.0000 0.0000 0.0000 [2 per cell]
Ho 0.0000 0.2038 0.3887 [4 per cell]
Sn 0.5000 0.0000 0.3345 [2 per cell]
Sn 0.5000 0.1291 0.7215 [4 per cell]
Pd 0.0000 0.0000 0.5923 [2 per cell]
Pt 0.5000 0.1669 0.0927 [4 per cell]

**Calculated density**: 10.77 Mg/m³
**VASP energy**: -108.7 eV per cell

4.
The following is a DFT calculation (PBE) of crystalline LaTbH4 at its relaxed geometry.

abc: 3.7967 3.7967 5.4792
angles: 90.00 90.00 90.00
Space group P4/mmm (No. 123)
Asymmetric unit:
La 0.0000 0.0000 0.0000 [1 per cell]
Tb 0.5000 0.5000 0.5000 [1 per cell]
H 0.0000 0.5000 0.2720 [4 per cell]

**Calculated density**: 6.35 Mg/m³
**VASP energy**: -27.0 eV per cell

5.
The following is a DFT calculation (PBE) of crystalline Lu2Zr4Si3C3 at its relaxed geometry.

abc: 10.1066 5.8326 14.2205
angles: 90.00 103.76 90.00
Space group C2/c (No. 15)
Asymmetric unit:
Lu 0.0469 0.0824 0.3948 [8 per cell]
Zr 0.1132 0.4128 0.5898 [8 per cell]
Zr 0.2221 0.4179 0.9102 [8 per cell]
Si 0.0000 0.4959 0.2500 [4 per cell]
Si 0.2043 0.1200 0.7507 [8 per cell]
C 0.0847 0.2540 0.0000 [8 per cell]
C 0.2500 0.2500 0.5000 [4 per cell]

**Calculated density**: 6.81 Mg/m³
**VASP energy**: -381.3 eV per cell

6.
The following is a DFT calculation (PBE) of crystalline ErTm2Al3CuAg2 at its relaxed geometry.

abc: 4.0664 12.4380 7.1699
angles: 90.00 90.00 90.00
Space group Amm2 (No. 38)
Asymmetric unit:
Er 0.0000 0.0000 0.0000 [2 per cell]
Tm 0.0000 0.2014 0.6052 [4 per cell]
Al 0.5000 0.0000 0.6334 [2 per cell]
Al 0.5000 0.1146 0.2891 [4 per cell]
Cu 0.0000 0.0000 0.4047 [2 per cell]
Ag 0.5000 0.1674 0.9036 [4 per cell]

**Calculated density**: 7.92 Mg/m³
**VASP energy**: -76.2 eV per cell

7.
The following is a DFT calculation (PBE) of crystalline YCuTePbSe2 at its relaxed geometry.

abc: 4.1120 14.0134 11.0815
angles: 90.00 90.00 90.00
Space group Cmcm (No. 63)
Asymmetric unit:
Y 0.0000 0.0000 0.0000 [4 per cell]
Cu 0.0000 0.4704 0.2500 [4 per cell]
Te 0.0000 0.0929 0.2500 [4 per cell]
Pb 0.0000 0.2201 0.7500 [4 per cell]
Se 0.0000 0.3670 0.0681 [8 per cell]

**Calculated density**: 6.71 Mg/m³
**VASP energy**: -117.9 eV per cell

8.
The following is a DFT calculation (PBE) of crystalline CsLuFe at its relaxed geometry.

abc: 7.3268 7.3268 7.3268
angles: 90.00 90.00 90.00
Space group F-43m (No. 216)
Asymmetric unit:
Cs 0.0000 0.0000 0.0000 [4 per cell]
Lu 0.0000 0.0000 0.5000 [4 per cell]
Fe 0.2500 0.2500 0.2500 [4 per cell]

**Calculated density**: 6.14 Mg/m³
**E above lowest polymorph**: 0 meV/atom

9.
The following is a DFT calculation (PBE) of crystalline NaNbFeSn at its relaxed geometry.

abc: 6.3635 6.3635 6.3635
angles: 90.00 90.00 90.00
Space group F-43m (No. 216)
Asymmetric unit:
Na 0.0000 0.0000 0.0000 [4 per cell]
Nb 0.2500 0.2500 0.2500 [4 per cell]
Fe 0.0000 0.0000 0.5000 [4 per cell]
Sn 0.2500 0.2500 0.7500 [4 per cell]

**Calculated density**: 7.49 Mg/m³
**E above lowest polymorph**: 0 meV/atom

10.
The following is a DFT calculation (PBE) of crystalline NaLaNp at its relaxed geometry.

abc: 7.5049 7.5049 7.5049
angles: 90.00 90.00 90.00
Space group F-43m (No. 216)
Asymmetric unit:
Na 0.0000 0.0000 0.0000 [4 per cell]
La 0.2500 0.2500 0.7500 [4 per cell]
Np 0.2500 0.2500 0.2500 [4 per cell]

**Calculated density**: 6.27 Mg/m³
**E above lowest polymorph**: 0 meV/atom

11.
The following is a DFT calculation (PBE) of crystalline LuCdCuB at its relaxed geometry.

abc: 6.3766 6.3766 6.3766
angles: 90.00 90.00 90.00
Space group F-43m (No. 216)
Asymmetric unit:
Lu 0.0000 0.0000 0.0000 [4 per cell]
Cd 0.2500 0.2500 0.7500 [4 per cell]
Cu 0.0000 0.0000 0.5000 [4 per cell]
B 0.2500 0.2500 0.2500 [4 per cell]

**Calculated density**: 9.27 Mg/m³
**E above lowest polymorph**: 0 meV/atom

12.
The following is a DFT calculation (PBE) of crystalline NaPmZn at its relaxed geometry.

abc: 7.0009 7.0009 7.0009
angles: 90.00 90.00 90.00
Space group F-43m (No. 216)
Asymmetric unit:
Na 0.0000 0.0000 0.0000 [4 per cell]
Pm 0.0000 0.0000 0.5000 [4 per cell]
Zn 0.2500 0.2500 0.2500 [4 per cell]

**Calculated density**: 4.52 Mg/m³
**E above lowest polymorph**: 0 meV/atom

13.
The following is a DFT calculation (PBE) of crystalline YAgPt2 at its relaxed geometry.

abc: 6.6959 6.6959 6.6959
angles: 90.00 90.00 90.00
Space group F-43m (No. 216)
Asymmetric unit:
Y 0.0000 0.0000 0.0000 [4 per cell]
Ag 0.2500 0.2500 0.7500 [4 per cell]
Pt 0.0000 0.0000 0.5000 [4 per cell]
Pt 0.2500 0.2500 0.2500 [4 per cell]

**Energy relative to the elements**: -225 kJ/mol of formula units
**Calculated density**: 12.99 Mg/m³

14.
The following is a DFT calculation (PBE) of crystalline TbYTc at its relaxed geometry.

abc: 6.7613 6.7613 6.7613
angles: 90.00 90.00 90.00
Space group F-43m (No. 216)
Asymmetric unit:
Tb 0.0000 0.0000 0.0000 [4 per cell]
Y 0.2500 0.2500 0.7500 [4 per cell]
Tc 0.0000 0.0000 0.5000 [4 per cell]

**Energy relative to the elements**: 286 kJ/mol of formula units
**Calculated density**: 7.43 Mg/m³